# 1
Computed, not measured: a geometry-optimized Ac5Se structure at the PBE-GGA level of DFT.

Computed properties:
* V: 40.876 Å³ per atom
* ΔE_f (raw): -244 kJ/mol of formula units

a b c (Å): 6.2911 19.4339 4.0121
angles (deg): 90.00 90.00 90.00
Closest atoms and distances in Å follow each position.
Space group Cmmm (No. 65)
Asymmetric unit:
Ac1 0.0000 0.0000 0.0000  4 Se 3.73, 6 Ac 4.01-4.05
Ac2 0.0000 0.1912 0.5000  12 Ac 3.89-4.22
Ac3 0.0000 0.3691 0.0000  2 Se 3.24
Se1 0.0000 0.5000 0.5000  4 Ac 3.24

***

# 2
Computed, not measured: a geometry-optimized Ac5Se7 structure at the PBE-GGA level of DFT.

Computed properties:
* V: 33.597 Å³ per atom
* ΔE_f (raw): -2301 kJ/mol of formula units

a b c (Å): 14.7903 4.3535 12.9815
angles (deg): 90.00 105.28 90.00
Closest atoms and distances in Å follow each position.
Space group C2/m (No. 12)
Asymmetric unit:
Ac1 0.0000 0.0000 0.0000  6 Se 3.04-3.15
Ac2 0.1122 0.0000 0.4212  6 Se 3.04-3.19
Ac3 0.1994 0.5000 0.8109  7 Se 3.11-3.31
Se1 0.0000 0.5000 0.5000  4 Ac 3.07
Se2 0.0451 0.0000 0.7844  4 Ac 3.04-3.11
Se3 0.1594 0.5000 0.0497  5 Ac 3.15-3.31
Se4 0.2393 0.5000 0.3506  5 Ac 3.17-3.31

***

# 3
Computed, not measured: a geometry-optimized Ac2SiSe6 structure at the PBE-GGA level of DFT.

Computed properties:
* V: 27.107 Å³ per atom
* ΔE_f (raw): -1003 kJ/mol of formula units

a b c (Å): 5.9736 8.0090 11.7128
angles (deg): 90.00 119.46 90.00
Closest atoms and distances in Å follow each position.
Space group P2_1/c (No. 14)
Asymmetric unit:
Ac1 0.1909 0.0908 0.2552  9 Se 3.13-3.41
Si1 0.5000 0.0000 0.0000  6 Se 2.44-2.58
Se1 0.1377 0.1951 0.9779  1 Si 2.58
Se2 0.2996 0.7212 0.9750  1 Si 2.48
Se3 0.3284 0.0276 0.7636  1 Si 2.44

***

# 4
Computed, not measured: a geometry-optimized AcSiSe3 structure at the PBE-GGA level of DFT.

Computed properties:
* V: 24.549 Å³ per atom
* ΔE_f (raw): -467 kJ/mol of formula units
* energy relative to the lowest polymorph listed for this composition: 318 meV/atom

a b c (Å): 4.9697 4.9697 4.9697
angles (deg): 90.00 90.00 90.00
Closest atoms and distances in Å follow each position.
Space group Pm-3m (No. 221)
Asymmetric unit:
Ac1 0.0000 0.0000 0.0000  12 Se 3.51
Si1 0.5000 0.5000 0.5000  6 Se 2.48
Se1 0.0000 0.5000 0.5000  2 Si 2.48

***

# 5
Computed, not measured: a geometry-optimized Ac2SiSe5 structure at the PBE-GGA level of DFT.

Computed properties:
* V: 28.489 Å³ per atom
* ΔE_f (raw): -972 kJ/mol of formula units
* energy relative to the lowest polymorph listed for this composition: 164 meV/atom

a b c (Å): 7.2307 7.2307 8.7183
angles (deg): 90.00 90.00 90.00
Closest atoms and distances in Å follow each position.
Space group I4mm (No. 107)
Asymmetric unit:
Ac1 0.0000 0.5000 0.0000  10 Se 3.25-3.64
Si1 0.0000 0.0000 0.2101  5 Se 2.24-2.41
Se1 0.0000 0.0000 0.9531  1 Si 2.24
Se2 0.2301 0.2301 0.2710  1 Si 2.41

***

# 6
Computed, not measured: a geometry-optimized Ac2SiSe structure at the PBE-GGA level of DFT.

Computed properties:
* V: 33.277 Å³ per atom
* ΔE_f (raw): -487 kJ/mol of formula units
* energy relative to the lowest polymorph listed for this composition: 0 meV/atom

a b c (Å): 9.1011 18.1143 7.8857
angles (deg): 90.00 125.01 90.00
Closest atoms and distances in Å follow each position.
Space group C2/c (No. 15)
Asymmetric unit:
Ac1 0.2369 0.0628 0.2408  3 Si 3.17-3.19, 3 Se 3.24-3.29
Ac2 0.2456 0.1877 0.7411  3 Si 3.17-3.18, 3 Se 3.23-3.29
Si1 0.0000 0.0650 0.7500  6 Ac 3.17-3.19
Si2 0.0000 0.1899 0.2500  6 Ac 3.17-3.18
Se1 0.0000 0.3143 0.7500  6 Ac 3.23-3.29
Se2 0.0000 0.4394 0.2500  6 Ac 3.24-3.29

***

# 7
Computed, not measured: a geometry-optimized AcSiSe3 structure at the PBE-GGA level of DFT.

Computed properties:
* V: 28.354 Å³ per atom
* ΔE_f (raw): -621 kJ/mol of formula units
* energy relative to the lowest polymorph listed for this composition: 0 meV/atom

a b c (Å): 7.0597 8.1703 11.9261
angles (deg): 90.00 124.47 90.00
Closest atoms and distances in Å follow each position.
Space group P2_1/c (No. 14)
Asymmetric unit:
Ac1 0.2106 0.1224 0.2502  8 Se 3.16-3.35
Si1 0.1363 0.5983 0.0656  3 Se 2.28-2.31, 1 Si 2.31
Se1 0.0804 0.1886 0.9372  1 Si 2.31
Se2 0.2903 0.6860 0.9504  1 Si 2.30
Se3 0.3944 0.0105 0.7746  1 Si 2.28

***

# 8
Computed, not measured: a geometry-optimized Ac3SiSe6 structure at the PBE-GGA level of DFT.

Computed properties:
* V: 32.536 Å³ per atom
* ΔE_f (raw): -1487 kJ/mol of formula units

a b c (Å): 11.9492 14.8864 7.3164
angles (deg): 90.00 90.00 90.00
Closest atoms and distances in Å follow each position.
Space group Cmc2_1 (No. 36)
Asymmetric unit:
Ac1 0.0000 0.1061 0.0000  7 Se 3.09-3.35
Ac2 0.1847 0.3988 0.0645  7 Se 3.02-3.35
Si1 0.0000 0.3055 0.6185  4 Se 2.39-2.53
Se1 0.0000 0.2858 0.2747  1 Si 2.53
Se2 0.0000 0.4576 0.7479  1 Si 2.45
Se3 0.1584 0.2419 0.7687  1 Si 2.39
Se4 0.1596 0.0205 0.2836  4 Ac 3.02-3.11